First-principles (PBE-GGA) data for an optimized crystal structure of CaHoTm2, as listed in the Alexandria database.

Cell: 8.045 8.045 8.045 Å, 90.00 90.00 90.00°
Space group Fm-3m (No. 225)
Symmetry-distinct sites (fractional):
Ca (0.000, 0.000, 0.000)
Ho (0.000, 0.000, 0.500)
Tm (0.250, 0.250, 0.250)

Output
crystal system = cubic
formation energy = 0.195 eV per atom
excess energy over the best structure of this formula in the dataset = 120.2 meV per atom
total magnetic moment = 0.75 μB/f.u.


First-principles (PBE-GGA) data for an optimized crystal structure of In2CuPd8, as listed in the Alexandria database.

Cell: 14.643 5.249 4.848 Å, 90.00 93.15 90.00°
Space group C2/m (No. 12)
Symmetry-distinct sites (fractional):
In (0.174, 0.000, 0.359)
Cu (0.000, 0.000, 0.500)
Pd (0.081, 0.500, 0.385)
Pd (0.086, 0.250, 0.886)
Pd (0.242, 0.500, 0.133)

Output
crystal system = monoclinic
formation energy = -0.142 eV per atom
excess energy over the best structure of this formula in the dataset = 153.4 meV per atom
total magnetic moment = 0.00 μB/f.u.


First-principles (PBE-GGA) data for an optimized crystal structure of Mn5Nb2VGa2, as listed in the Alexandria database.

Cell: 9.124 9.124 3.385 Å, 90.00 90.00 90.00°
Space group P4/mbm (No. 127)
Symmetry-distinct sites (fractional):
Mn (0.000, 0.500, 0.000)
Mn (0.056, 0.195, 0.000)
Nb (0.167, 0.667, 0.500)
V (0.000, 0.000, 0.500)
Ga (0.131, 0.369, 0.500)

Output
crystal system = tetragonal
formation energy = 0.026 eV per atom
total magnetic moment = 7.00 μB/f.u.